Below is Cs2H2Se2O after structural relaxation, with properties calculated at the PBE level.

The value obtained for the uncorrected energy is -3.677 eV/atom. The space group is C2/m (12). Its spin magnetization is 0.0 μB/cell.

Cell: 6.5983 6.5983 6.9988 Å, 110.86 110.86 46.74°
Sites, in units of the cell vectors:
Cs: 0.1803 0.1803 0.2265
Cs: 0.8197 0.8197 0.7735
H: 0.4744 0.4744 0.1141
H: 0.5256 0.5256 0.8859
Se: 0.0854 0.0854 0.6635
Se: 0.9146 0.9146 0.3365
O: 0.5000 0.5000 0.0000